[1]
! NaHf3Pt (SCAN, PBEsol geometry); values from VASP
! - total magnetization (μB per cell) = 0.0
! - space group = Pm-3m (221)
! - DFT formation energy (eV per atom) = 1.606
&SYSTEM
  ibrav = 0, nat = 5, ntyp = 3
/
ATOMIC_SPECIES
Na 22.99 Na.upf
Hf 178.49 Hf.upf
Pt 195.08 Pt.upf
CELL_PARAMETERS angstrom
4.7224 0.0000 0.0000
0.0000 4.7224 0.0000
0.0000 0.0000 4.7224
ATOMIC_POSITIONS angstrom
Na 0.0000 0.0000 0.0000
Hf 0.0000 0.0000 2.3612
Hf 0.0000 2.3612 0.0000
Hf 2.3612 0.0000 0.0000
Pt 2.3612 2.3612 2.3612

---

[2]
! NaRh3Br (SCAN, PBEsol geometry); values from VASP
! - total magnetization (μB per cell) = 0.0
! - space group = Pm-3m (221)
! - E_form (uncorrected) (meV/atom) = 837
&SYSTEM
  ibrav = 0, nat = 5, ntyp = 3
/
ATOMIC_SPECIES
Na 22.99 Na.upf
Rh 102.91 Rh.upf
Br 79.90 Br.upf
CELL_PARAMETERS angstrom
4.5700 0.0000 0.0000
0.0000 4.5700 0.0000
0.0000 0.0000 4.5700
ATOMIC_POSITIONS angstrom
Na 0.0000 0.0000 0.0000
Rh 0.0000 2.2850 2.2850
Rh 2.2850 0.0000 2.2850
Rh 2.2850 2.2850 0.0000
Br 2.2850 2.2850 2.2850

---

[3]
! Li3CuF6 (SCAN, PBEsol geometry); values from VASP
! - total magnetization (μB per cell) = 4.0
! - polymorph energy (0 for the lowest one) (meV/atom) = 15
! - space group = P2_1/c (14)
! - E_form (uncorrected) (meV/atom) = -2577
&SYSTEM
  ibrav = 0, nat = 20, ntyp = 3
/
ATOMIC_SPECIES
Li 6.94 Li.upf
Cu 63.55 Cu.upf
F 19.00 F.upf
CELL_PARAMETERS angstrom
4.9647 0.0000 0.0000
0.0000 5.1077 0.0000
-4.9077 0.0000 7.4451
ATOMIC_POSITIONS angstrom
Li 0.0000 0.0000 0.0000
Li -2.4538 2.5538 3.7225
Li -2.4651 0.2367 5.4764
Li -0.0113 2.3172 1.7539
Li 0.0683 2.7905 5.6911
Li 2.5221 4.8710 1.9686
Cu 0.0285 0.0000 3.7225
Cu 2.4823 2.5538 0.0000
F -1.5685 0.9123 3.2946
F -4.0223 1.6415 7.0172
F -0.8105 3.5276 3.0954
F -3.2643 4.1339 6.8179
F 0.6851 0.4292 1.9740
F -1.7688 2.1246 5.6965
F 1.8258 2.9830 1.7485
F -0.6281 4.6785 5.4711
F 3.3213 0.9738 0.6271
F 0.8675 1.5800 4.3497
F 4.0793 3.4662 0.4279
F 1.6254 4.1953 4.1504

---

[4]
! Mn2SeBrN (SCAN, PBEsol geometry); values from VASP
! - total magnetization (μB per cell) = 8.3
! - space group = P4/mmm (123)
! - E_form (uncorrected) (meV/atom) = 177
&SYSTEM
  ibrav = 0, nat = 5, ntyp = 4
/
ATOMIC_SPECIES
Mn 54.94 Mn.upf
Se 78.96 Se.upf
Br 79.90 Br.upf
N 14.01 N.upf
CELL_PARAMETERS angstrom
3.7644 0.0000 0.0000
0.0000 3.7644 0.0000
0.0000 0.0000 6.6622
ATOMIC_POSITIONS angstrom
Mn 0.0000 1.8822 0.0000
Mn 1.8822 0.0000 0.0000
Se 0.0000 0.0000 3.3311
Br 1.8822 1.8822 3.3311
N 0.0000 0.0000 0.0000

---

[5]
! CaTaSe2N (SCAN, PBEsol geometry); values from VASP
! - total magnetization (μB per cell) = 0.0
! - space group = P4/mmm (123)
! - E_form (uncorrected) (meV/atom) = -1011
&SYSTEM
  ibrav = 0, nat = 5, ntyp = 4
/
ATOMIC_SPECIES
Ca 40.08 Ca.upf
Ta 180.95 Ta.upf
Se 78.96 Se.upf
N 14.01 N.upf
CELL_PARAMETERS angstrom
5.1344 0.0000 0.0000
0.0000 5.1344 0.0000
0.0000 0.0000 3.9144
ATOMIC_POSITIONS angstrom
Ca 0.0000 0.0000 0.0000
Ta 2.5672 2.5672 1.9572
Se 0.0000 2.5672 1.9572
Se 2.5672 0.0000 1.9572
N 2.5672 2.5672 0.0000

---

[6]
! K2InSb (SCAN, PBEsol geometry); values from VASP
! - total magnetization (μB per cell) = 0.0
! - polymorph energy (0 for the lowest one) (meV/atom) = 347
! - space group = R-3m (166)
! - E_form (uncorrected) (meV/atom) = -66
&SYSTEM
  ibrav = 0, nat = 4, ntyp = 3
/
ATOMIC_SPECIES
K 39.10 K.upf
In 114.82 In.upf
Sb 121.76 Sb.upf
CELL_PARAMETERS angstrom
1.7866 1.0315 11.7112
-1.7866 1.0315 11.7112
0.0000 -2.0630 11.7112
ATOMIC_POSITIONS angstrom
K 0.0000 0.0000 8.6465
K 0.0000 0.0000 26.4872
In 0.0000 0.0000 0.0000
Sb 0.0000 0.0000 17.5668

---

[7]
! NiAu3 (SCAN, PBEsol geometry); values from VASP
! - total magnetization (μB per cell) = 0.0
! - space group = C2/m (12)
! - DFT formation energy (eV per atom) = 0.097
&SYSTEM
  ibrav = 0, nat = 4, ntyp = 2
/
ATOMIC_SPECIES
Ni 58.69 Ni.upf
Au 196.97 Au.upf
CELL_PARAMETERS angstrom
4.6412 -1.4404 0.0000
4.6412 1.4404 0.0000
-1.1509 0.0000 4.6110
ATOMIC_POSITIONS angstrom
Ni 0.0000 0.0000 0.0000
Au 1.5532 0.0000 3.5104
Au 4.0657 0.0000 2.3055
Au 6.5783 0.0000 1.1005

---

[8]
! TaTl2Cr (SCAN, PBEsol geometry); values from VASP
! - total magnetization (μB per cell) = 1.1
! - polymorph energy (0 for the lowest one) (meV/atom) = 0
! - space group = P4mm (99)
! - DFT formation energy (eV per atom) = 0.508
&SYSTEM
  ibrav = 0, nat = 4, ntyp = 3
/
ATOMIC_SPECIES
Ta 180.95 Ta.upf
Tl 204.38 Tl.upf
Cr 52.00 Cr.upf
CELL_PARAMETERS angstrom
3.1567 0.0000 0.0000
0.0000 3.1567 0.0000
0.0000 0.0000 8.0748
ATOMIC_POSITIONS angstrom
Ta 0.0000 0.0000 0.0000
Tl 0.0000 0.0000 4.9321
Tl 1.5784 1.5784 2.2476
Cr 1.5784 1.5784 6.8869